Entry 1:
VASP calculation (PBE) on a relaxed structure of K3LiCd8.

Unit cell a=6.182 b=6.182 c=10.994 alpha=73.67 beta=73.67 gamma=60.00
Fractional coordinates of all 12 atoms:
Cd1 0.445 0.938 0.679
Cd2 0.188 0.188 0.436
Cd3 0.435 0.933 0.197
Cd4 0.938 0.938 0.679
Cd5 0.933 0.435 0.197
Cd6 0.688 0.688 0.935
Cd7 0.938 0.445 0.679
Cd8 0.435 0.435 0.197
K1 0.998 0.998 0.005
K2 0.375 0.375 0.876
K3 0.501 0.501 0.496
Li1 0.875 0.875 0.374

Properties
Fermi-level density of states = 3.07 states/eV per cell
ρ = 4.94 g/cm3
Space-group type = R3m
Total DFT energy (no corrections) = -1.130 eV/atom


Entry 2:
VASP calculation (PBE) on a relaxed structure of PmGa4IrPt2.

Unit cell a=4.293 b=4.293 c=9.197 alpha=76.50 beta=76.50 gamma=60.00
Fractional coordinates of all 8 atoms:
Ga1 0.601 0.601 0.198
Ga2 0.867 0.867 0.399
Ga3 0.133 0.133 0.601
Ga4 0.399 0.399 0.802
Pt1 0.237 0.237 0.289
Pt2 0.763 0.763 0.711
Pm1 0.000 0.000 0.000
Ir1 0.500 0.500 0.500

Properties
Fermi-level density of states = 5.01 states/eV per cell
ρ = 11.82 g/cm3
Space-group type = R-3m
Total DFT energy (no corrections) = -5.375 eV/atom